Below is a geometry-optimized Pr3Nd3Sm structure, with properties calculated at the PBE level.

abc: 9.0760 9.0760 9.0760
angles: 58.75 58.75 58.75
Last column: nearest neighbours and their distance in Å.
Fractional coordinates of all 14 atoms:
Pr: 0.0665 0.2203 0.5694  4 Nd 3.35-3.73, 2 Pr 3.72, 1 Sm 3.74
Pr: 0.2203 0.5694 0.0665  4 Nd 3.35-3.73, 2 Pr 3.72, 1 Sm 3.74
Pr: 0.4306 0.9335 0.7797  4 Nd 3.35-3.73, 2 Pr 3.72, 1 Sm 3.74
Pr: 0.5694 0.0665 0.2203  4 Nd 3.35-3.73, 2 Pr 3.72, 1 Sm 3.74
Pr: 0.7797 0.4306 0.9335  4 Nd 3.35-3.73, 2 Pr 3.72, 1 Sm 3.74
Pr: 0.9335 0.7797 0.4306  4 Nd 3.35-3.73, 2 Pr 3.72, 1 Sm 3.74
Nd: 0.2071 0.4381 0.6803  4 Pr 3.35-3.73, 4 Nd 3.35-3.65, 1 Sm 3.61
Nd: 0.3197 0.7929 0.5619  4 Pr 3.35-3.73, 4 Nd 3.35-3.65, 1 Sm 3.61
Nd: 0.4381 0.6803 0.2071  4 Pr 3.35-3.73, 4 Nd 3.35-3.65, 1 Sm 3.61
Nd: 0.5619 0.3197 0.7929  4 Pr 3.35-3.73, 4 Nd 3.35-3.65, 1 Sm 3.61
Nd: 0.6803 0.2071 0.4381  4 Pr 3.35-3.73, 4 Nd 3.35-3.65, 1 Sm 3.61
Nd: 0.7929 0.5619 0.3197  4 Pr 3.35-3.73, 4 Nd 3.35-3.65, 1 Sm 3.61
Sm: 0.1539 0.1539 0.1539  6 Nd 3.61-3.85, 6 Pr 3.74-3.85
Sm: 0.8461 0.8461 0.8461  6 Nd 3.61-3.85, 6 Pr 3.74-3.85

crystal system	trigonal
space-group type	R-3, No. 148
density of states at the Fermi level	21.96	states/eV per cell
DFT formation energy	0.20	eV per atom

Below is a geometry-optimized Pr5Nd4Sm2 structure, with properties calculated at the PBE level.

abc: 12.8662 12.8662 12.8662
angles: 163.99 136.50 46.63
Last column: nearest neighbours and their distance in Å.
Fractional coordinates of all 11 atoms:
Pr: 0.0000 0.0000 0.0000  4 Nd 3.37, 2 Pr 3.58
Pr: 0.0527 0.3513 0.7014  1 Sm 3.45, 3 Pr 3.58-3.84, 3 Nd 3.59-3.64
Pr: 0.3501 0.6487 0.7014  1 Sm 3.45, 3 Pr 3.58-3.84, 3 Nd 3.59-3.64
Pr: 0.6499 0.3513 0.2986  1 Sm 3.45, 3 Pr 3.58-3.84, 3 Nd 3.59-3.64
Pr: 0.9473 0.6487 0.2986  1 Sm 3.45, 3 Pr 3.58-3.84, 3 Nd 3.59-3.64
Nd: 0.2996 0.5000 0.7996  4 Pr 3.37-3.64, 6 Nd 3.46-3.58
Nd: 0.4046 0.9046 0.5000  1 Sm 3.18, 4 Nd 3.46
Nd: 0.5954 0.0954 0.5000  1 Sm 3.18, 4 Nd 3.46
Nd: 0.7004 0.5000 0.2004  4 Pr 3.37-3.64, 6 Nd 3.46-3.58
Sm: 0.2700 0.7700 0.5000  1 Nd 3.18, 2 Pr 3.45
Sm: 0.7300 0.2300 0.5000  1 Nd 3.18, 2 Pr 3.45

crystal system	orthorhombic
space-group type	Immm, No. 71
density of states at the Fermi level	16.51	states/eV per cell
DFT formation energy	0.20	eV per atom

Below is a geometry-optimized Pr4Nd2Sm structure, with properties calculated at the PBE level.

abc: 21.1604 21.1604 21.1604
angles: 10.02 10.02 10.02
Last column: nearest neighbours and their distance in Å.
Fractional coordinates of all 7 atoms:
Pr: 0.1426 0.1426 0.1426  3 Nd 3.69, 9 Pr 3.70-3.71
Pr: 0.2862 0.2862 0.2862  3 Sm 3.66, 3 Nd 3.70, 6 Pr 3.70
Pr: 0.7138 0.7138 0.7138  3 Sm 3.66, 3 Nd 3.70, 6 Pr 3.70
Pr: 0.8574 0.8574 0.8574  3 Nd 3.69, 9 Pr 3.70-3.71
Nd: 0.4283 0.4283 0.4283  6 Pr 3.69-3.70, 6 Nd 3.70
Nd: 0.5717 0.5717 0.5717  6 Pr 3.69-3.70, 6 Nd 3.70
Sm: 0.0000 0.0000 0.0000  6 Pr 3.66, 6 Sm 3.70

crystal system	trigonal
space-group type	R-3m, No. 166
density of states at the Fermi level	9.80	states/eV per cell
DFT formation energy	0.01	eV per atom

Below is a geometry-optimized Pr2Nd5Sm6 structure, with properties calculated at the PBE level.

abc: 11.9393 20.9063 3.6654
angles: 90.00 90.00 90.00
Last column: nearest neighbours and their distance in Å.
Fractional coordinates of all 26 atoms:
Pr: 0.1748 0.2177 0.0000  3 Sm 3.44-3.69, 4 Nd 3.59-3.65, 2 Pr 3.67
Pr: 0.3252 0.7177 0.0000  3 Sm 3.44-3.69, 4 Nd 3.59-3.65, 2 Pr 3.67
Pr: 0.6748 0.2823 0.0000  3 Sm 3.44-3.69, 4 Nd 3.59-3.65, 2 Pr 3.67
Pr: 0.8252 0.7823 0.0000  3 Sm 3.44-3.69, 4 Nd 3.59-3.65, 2 Pr 3.67
Nd: 0.0000 0.5000 0.5000  6 Sm 3.46-3.49, 4 Nd 3.67-3.76
Nd: 0.0839 0.7793 0.5000  5 Sm 3.40-3.54, 4 Pr 3.59-3.65, 2 Nd 3.67
Nd: 0.1999 0.0549 0.5000  6 Sm 3.65-3.68, 3 Nd 3.67-3.76, 2 Pr 3.88
Nd: 0.3001 0.5549 0.5000  6 Sm 3.65-3.68, 3 Nd 3.67-3.76, 2 Pr 3.88
Nd: 0.4161 0.2793 0.5000  5 Sm 3.40-3.54, 4 Pr 3.59-3.65, 2 Nd 3.67
Nd: 0.5000 0.0000 0.5000  6 Sm 3.46-3.49, 4 Nd 3.67-3.76
Nd: 0.5839 0.7207 0.5000  5 Sm 3.40-3.54, 4 Pr 3.59-3.65, 2 Nd 3.67
Nd: 0.6999 0.4451 0.5000  6 Sm 3.65-3.68, 3 Nd 3.67-3.76, 2 Pr 3.88
Nd: 0.8001 0.9451 0.5000  6 Sm 3.65-3.68, 3 Nd 3.67-3.76, 2 Pr 3.88
Nd: 0.9161 0.2207 0.5000  5 Sm 3.40-3.54, 4 Pr 3.59-3.65, 2 Nd 3.67
Sm: 0.0618 0.9239 0.0000  5 Sm 3.51-3.74, 6 Nd 3.54-3.68
Sm: 0.0758 0.6353 0.0000  1 Pr 3.44, 6 Nd 3.49-3.65, 4 Sm 3.57-3.67
Sm: 0.1809 0.3709 0.5000  2 Nd 3.40-3.46, 6 Sm 3.57-3.74, 2 Pr 3.69
Sm: 0.3191 0.8709 0.5000  2 Nd 3.40-3.46, 6 Sm 3.57-3.74, 2 Pr 3.69
Sm: 0.4242 0.1353 0.0000  1 Pr 3.44, 6 Nd 3.49-3.65, 4 Sm 3.57-3.67
Sm: 0.4382 0.4239 0.0000  5 Sm 3.51-3.74, 6 Nd 3.54-3.68
Sm: 0.5618 0.5761 0.0000  5 Sm 3.51-3.74, 6 Nd 3.54-3.68
Sm: 0.5758 0.8647 0.0000  1 Pr 3.44, 6 Nd 3.49-3.65, 4 Sm 3.57-3.67
Sm: 0.6809 0.1291 0.5000  2 Nd 3.40-3.46, 6 Sm 3.57-3.74, 2 Pr 3.69
Sm: 0.8191 0.6291 0.5000  2 Nd 3.40-3.46, 6 Sm 3.57-3.74, 2 Pr 3.69
Sm: 0.9242 0.3647 0.0000  1 Pr 3.44, 6 Nd 3.49-3.65, 4 Sm 3.57-3.67
Sm: 0.9382 0.0761 0.0000  5 Sm 3.51-3.74, 6 Nd 3.54-3.68

crystal system	orthorhombic
space-group type	Pbam, No. 55
density of states at the Fermi level	32.48	states/eV per cell
DFT formation energy	0.09	eV per atom

Below is a geometry-optimized Pr5Nd4Sm4 structure, with properties calculated at the PBE level.

abc: 9.7548 9.7548 9.7548
angles: 94.04 94.04 149.20
Last column: nearest neighbours and their distance in Å.
Fractional coordinates of all 13 atoms:
Pr: 0.0000 0.0000 0.0000  8 Pr 3.68, 4 Sm 3.70
Pr: 0.3072 0.4609 0.7681  5 Sm 3.66-3.69, 3 Nd 3.67-3.69, 4 Pr 3.68-3.70
Pr: 0.4609 0.6928 0.1538  5 Sm 3.66-3.69, 3 Nd 3.67-3.69, 4 Pr 3.68-3.70
Pr: 0.5391 0.3072 0.8462  5 Sm 3.66-3.69, 3 Nd 3.67-3.69, 4 Pr 3.68-3.70
Pr: 0.6928 0.5391 0.2319  5 Sm 3.66-3.69, 3 Nd 3.67-3.69, 4 Pr 3.68-3.70
Nd: 0.0768 0.6158 0.6925  3 Pr 3.67-3.69, 4 Sm 3.67-3.69, 5 Nd 3.68-3.69
Nd: 0.3842 0.0768 0.4610  3 Pr 3.67-3.69, 4 Sm 3.67-3.69, 5 Nd 3.68-3.69
Nd: 0.6158 0.9232 0.5390  3 Pr 3.67-3.69, 4 Sm 3.67-3.69, 5 Nd 3.68-3.69
Nd: 0.9232 0.3842 0.3075  3 Pr 3.67-3.69, 4 Sm 3.67-3.69, 5 Nd 3.68-3.69
Sm: 0.1545 0.2317 0.3861  2 Sm 3.66, 6 Pr 3.66-3.70, 4 Nd 3.67-3.69
Sm: 0.2317 0.8455 0.0772  2 Sm 3.66, 6 Pr 3.66-3.70, 4 Nd 3.67-3.69
Sm: 0.7683 0.1545 0.9228  2 Sm 3.66, 6 Pr 3.66-3.70, 4 Nd 3.67-3.69
Sm: 0.8455 0.7683 0.6139  2 Sm 3.66, 6 Pr 3.66-3.70, 4 Nd 3.67-3.69

crystal system	tetragonal
space-group type	I4/m, No. 87
density of states at the Fermi level	20.06	states/eV per cell
DFT formation energy	0.01	eV per atom

Below is a geometry-optimized Pr2Nd4Sm5 structure, with properties calculated at the PBE level.

abc: 12.3689 12.3689 8.9878
angles: 96.56 96.56 16.34
Last column: nearest neighbours and their distance in Å.
Fractional coordinates of all 11 atoms:
Pr: 0.0902 0.0902 0.2355  2 Nd 3.35-3.42, 2 Sm 3.47-3.50, 2 Pr 3.51
Pr: 0.9098 0.9098 0.7645  2 Nd 3.35-3.42, 2 Sm 3.47-3.50, 2 Pr 3.51
Nd: 0.0464 0.0464 0.8602  2 Pr 3.35-3.42, 3 Sm 3.38-3.74, 5 Nd 3.51-3.72
Nd: 0.3212 0.3212 0.0296  6 Nd 3.51-3.89, 5 Sm 3.64-3.75, 2 Pr 3.83
Nd: 0.6788 0.6788 0.9704  6 Nd 3.51-3.89, 5 Sm 3.64-3.75, 2 Pr 3.83
Nd: 0.9536 0.9536 0.1398  2 Pr 3.35-3.42, 3 Sm 3.38-3.74, 5 Nd 3.51-3.72
Sm: 0.1415 0.1415 0.6159  3 Nd 3.38-3.66, 1 Pr 3.50, 5 Sm 3.51-3.61
Sm: 0.2320 0.2320 0.3267  1 Pr 3.47, 7 Sm 3.51-3.61, 3 Nd 3.64-3.75
Sm: 0.5000 0.5000 0.5000  6 Sm 3.51-3.92, 4 Nd 3.74, 4 Pr 3.85
Sm: 0.7680 0.7680 0.6733  1 Pr 3.47, 7 Sm 3.51-3.61, 3 Nd 3.64-3.75
Sm: 0.8585 0.8585 0.3841  3 Nd 3.38-3.66, 1 Pr 3.50, 5 Sm 3.51-3.61

crystal system	monoclinic
space-group type	C2/m, No. 12
density of states at the Fermi level	18.84	states/eV per cell
DFT formation energy	0.13	eV per atom

Below is a geometry-optimized Pr4NdSm3 structure, with properties calculated at the PBE level.

abc: 10.4143 7.3504 7.3496
angles: 90.00 90.00 90.00
Last column: nearest neighbours and their distance in Å.
Fractional coordinates of all 16 atoms:
Pr: 0.0000 0.0000 0.0000  6 Sm 3.67-3.68, 2 Nd 3.68, 4 Pr 3.68
Pr: 0.0000 0.5000 0.5000  2 Nd 3.67, 6 Sm 3.68, 4 Pr 3.68
Pr: 0.2500 0.2493 0.2500  6 Sm 3.66-3.69, 4 Pr 3.68, 2 Nd 3.68
Pr: 0.2500 0.7507 0.7500  6 Sm 3.66-3.69, 4 Pr 3.68, 2 Nd 3.68
Pr: 0.5000 0.0000 0.5000  6 Sm 3.67-3.68, 2 Nd 3.68, 4 Pr 3.68
Pr: 0.5000 0.5000 0.0000  2 Nd 3.67, 6 Sm 3.68, 4 Pr 3.68
Pr: 0.7500 0.2493 0.2500  6 Sm 3.66-3.69, 4 Pr 3.68, 2 Nd 3.68
Pr: 0.7500 0.7507 0.7500  6 Sm 3.66-3.69, 4 Pr 3.68, 2 Nd 3.68
Nd: 0.0000 0.5000 0.0000  8 Pr 3.67-3.68, 4 Sm 3.68
Nd: 0.5000 0.5000 0.5000  8 Pr 3.67-3.68, 4 Sm 3.68
Sm: 0.0000 0.0000 0.5000  8 Pr 3.67-3.68, 4 Sm 3.68
Sm: 0.2500 0.2492 0.7500  8 Pr 3.66-3.69, 2 Sm 3.68, 2 Nd 3.68
Sm: 0.2500 0.7508 0.2500  8 Pr 3.66-3.69, 2 Sm 3.68, 2 Nd 3.68
Sm: 0.5000 0.0000 0.0000  8 Pr 3.67-3.68, 4 Sm 3.68
Sm: 0.7500 0.2492 0.7500  8 Pr 3.66-3.69, 2 Sm 3.68, 2 Nd 3.68
Sm: 0.7500 0.7508 0.2500  8 Pr 3.66-3.69, 2 Sm 3.68, 2 Nd 3.68

crystal system	orthorhombic
space-group type	Pmna, No. 53
density of states at the Fermi level	26.33	states/eV per cell
DFT formation energy	0.01	eV per atom

Below is a geometry-optimized Pr3Nd2Sm2 structure, with properties calculated at the PBE level.

abc: 3.6820 6.3727 11.0657
angles: 84.38 89.88 73.29
Last column: nearest neighbours and their distance in Å.
Fractional coordinates of all 7 atoms:
Pr: 0.0000 0.0000 0.0000  6 Nd 3.68-3.69, 4 Sm 3.68-3.69, 2 Pr 3.68
Pr: 0.1436 0.7145 0.5715  5 Pr 3.68-3.69, 5 Sm 3.68-3.69, 2 Nd 3.68-3.69
Pr: 0.8564 0.2855 0.4285  5 Pr 3.68-3.69, 5 Sm 3.68-3.69, 2 Nd 3.68-3.69
Nd: 0.2854 0.4292 0.1430  5 Pr 3.68-3.69, 3 Sm 3.68, 4 Nd 3.68-3.69
Nd: 0.7146 0.5708 0.8570  5 Pr 3.68-3.69, 3 Sm 3.68, 4 Nd 3.68-3.69
Sm: 0.4285 0.1428 0.7145  3 Nd 3.68, 7 Pr 3.68-3.69, 2 Sm 3.68
Sm: 0.5715 0.8572 0.2855  3 Nd 3.68, 7 Pr 3.68-3.69, 2 Sm 3.68

crystal system	triclinic
space-group type	P-1, No. 2
density of states at the Fermi level	10.72	states/eV per cell
DFT formation energy	0.01	eV per atom